DFT (GGA-PBE) results for a geometry-optimized Dy4SbIr structure.

a = 6.892 Å, b = 6.892 Å, c = 8.808 Å
α = 113.07°, β = 112.97°, γ = 90.09°
Atoms (fractional coordinates):
Dy: 0.862 0.361 0.723
Dy: 0.638 0.639 0.276
Dy: 0.362 0.361 0.724
Dy: 0.138 0.139 0.276
Dy: 0.638 0.139 0.276
Dy: 0.138 0.639 0.277
Dy: 0.362 0.861 0.724
Dy: 0.862 0.861 0.724
Ir: 0.500 0.500 0.500
Ir: 0.000 0.000 0.500
Sb: 0.750 0.250 0.000
Sb: 0.250 0.750 0.000

Summary:
Magnetic moment ... 0.00 μB per atom
Uncorrected formation energy ... -0.64 eV/atom
Space group ... C2/m (12)
E above lowest polymorph ... 88.3 meV per atom
VASP energy ... -70.5 eV for the cell shown